(1)
VASP calculation (PBE) on a geometry-optimized ScCrOs structure.

CIF file:
```
data_ScCrOs
_cell_length_a 2.856
_cell_length_b 5.329
_cell_length_c 7.053
_cell_angle_alpha 67.90
_cell_angle_beta 83.86
_cell_angle_gamma 75.40
_space_group_name_H-M_alt 'P 1'
_space_group_IT_number 1
loop_
_space_group_symop_operation_xyz
'x,y,z'
loop_
_atom_site_label
_atom_site_type_symbol
_atom_site_fract_x
_atom_site_fract_y
_atom_site_fract_z
Sc1 Sc 0.000 0.000 0.000
Sc2 Sc 0.021 0.365 0.269
Cr1 Cr 0.569 0.594 0.857
Cr2 Cr 0.763 0.960 0.637
Os1 Os 0.225 0.402 0.636
Os2 Os 0.520 0.822 0.375
```

Computed properties:
Size of the total moment ... 0.357 μB per formula unit
Energy relative to the elements ... 0.036 eV/atom
Excess energy over the best structure of this formula in the dataset ... 316 meV per atom
Energy ... -9.0257 eV per atom

***

(2)
VASP calculation (PBE) on a geometry-optimized Tb2Nd3Y8 structure.

CIF file:
```
data_Tb2Nd3Y8
_cell_length_a 23.006
_cell_length_b 6.959
_cell_length_c 5.658
_cell_angle_alpha 90.00
_cell_angle_beta 104.19
_cell_angle_gamma 90.00
_space_group_name_H-M_alt 'C 1 2/m 1'
_space_group_IT_number 12
loop_
_space_group_symop_operation_xyz
'x,y,z'
'-x,-y,-z'
'-x,y,-z'
'x,-y,z'
'x+1/2,y+1/2,z'
'-x+1/2,-y+1/2,-z'
'-x+1/2,y+1/2,-z'
'x+1/2,-y+1/2,z'
loop_
_atom_site_label
_atom_site_type_symbol
_atom_site_fract_x
_atom_site_fract_y
_atom_site_fract_z
Tb1 Tb 0.222 0.000 0.223
Nd1 Nd 0.000 0.226 0.500
Nd2 Nd 0.000 0.500 0.000
Y1 Y 0.075 0.000 0.076
Y2 Y 0.153 0.239 0.654
Y3 Y 0.188 0.500 0.189
```

Computed properties:
Size of the total moment ... 0.000 μB per formula unit
Energy relative to the elements ... 0.139 eV/atom
Excess energy over the best structure of this formula in the dataset ... 0 meV per atom
Energy ... -5.6516 eV per atom

***

(3)
VASP calculation (PBE) on a geometry-optimized CaPmAgIr structure.

CIF file:
```
data_CaPmAgIr
_cell_length_a 7.136
_cell_length_b 7.136
_cell_length_c 7.136
_cell_angle_alpha 90.00
_cell_angle_beta 90.00
_cell_angle_gamma 90.00
_space_group_name_H-M_alt 'F -4 3 m'
_space_group_IT_number 216
_space_group_name_Hall 'F -4 2 3'
loop_
_atom_site_label
_atom_site_type_symbol
_atom_site_fract_x
_atom_site_fract_y
_atom_site_fract_z
Ca1 Ca 0.000 0.000 0.000
Pm1 Pm 0.000 0.000 0.500
Ag1 Ag 0.250 0.250 0.750
Ir1 Ir 0.250 0.250 0.250
```

Computed properties:
Size of the total moment ... 0.000 μB per formula unit
Energy relative to the elements ... -0.393 eV/atom
Excess energy over the best structure of this formula in the dataset ... 25 meV per atom
Energy ... -5.0092 eV per atom

***

(4)
VASP calculation (PBE) on a geometry-optimized NiBiIN2 structure.

CIF file:
```
data_NiBiIN2
_cell_length_a 4.217
_cell_length_b 4.217
_cell_length_c 5.063
_cell_angle_alpha 90.00
_cell_angle_beta 90.00
_cell_angle_gamma 90.00
_space_group_name_H-M_alt 'P 4/m m m'
_space_group_IT_number 123
_space_group_name_Hall '-P 4 2'
loop_
_atom_site_label
_atom_site_type_symbol
_atom_site_fract_x
_atom_site_fract_y
_atom_site_fract_z
Ni1 Ni 0.000 0.000 0.000
Bi1 Bi 0.500 0.500 0.500
I1 I 0.000 0.000 0.500
N1 N 0.000 0.500 0.000
```

Computed properties:
Size of the total moment ... 2.648 μB per formula unit
Uncorrected formation energy ... 1.5196 eV per atom
Excess energy over the best structure of this formula in the dataset ... 0 meV per atom
Energy ... -4.0530 eV per atom

***

(5)
VASP calculation (PBE) on a geometry-optimized AlHgTe2I structure.

CIF file:
```
data_AlHgTe2I
_cell_length_a 5.621
_cell_length_b 5.621
_cell_length_c 6.108
_cell_angle_alpha 90.00
_cell_angle_beta 90.00
_cell_angle_gamma 90.00
_space_group_name_H-M_alt 'P 4/m m m'
_space_group_IT_number 123
_space_group_name_Hall '-P 4 2'
loop_
_atom_site_label
_atom_site_type_symbol
_atom_site_fract_x
_atom_site_fract_y
_atom_site_fract_z
Al1 Al 0.000 0.000 0.000
Hg1 Hg 0.500 0.500 0.500
Te1 Te 0.000 0.500 0.500
I1 I 0.500 0.500 0.000
```

Computed properties:
Size of the total moment ... 0.000 μB per formula unit
Uncorrected formation energy ... 0.4952 eV per atom
Excess energy over the best structure of this formula in the dataset ... 383 meV per atom
Energy ... -1.8804 eV per atom

***

(6)
VASP calculation (PBE) on a geometry-optimized TlICl structure.

CIF file:
```
data_TlICl
_cell_length_a 4.634
_cell_length_b 5.485
_cell_length_c 10.642
_cell_angle_alpha 76.75
_cell_angle_beta 85.82
_cell_angle_gamma 77.51
_space_group_name_H-M_alt 'P 1'
_space_group_IT_number 1
loop_
_space_group_symop_operation_xyz
'x,y,z'
loop_
_atom_site_label
_atom_site_type_symbol
_atom_site_fract_x
_atom_site_fract_y
_atom_site_fract_z
Tl1 Tl 0.000 0.000 0.000
Tl2 Tl 0.053 0.124 0.529
I1 I 0.526 0.063 0.765
I2 I 0.527 0.562 0.265
Cl1 Cl 0.397 0.408 0.069
Cl2 Cl 0.656 0.716 0.461
```

Computed properties:
Size of the total moment ... 0.000 μB per formula unit
Uncorrected formation energy ... -0.5963 eV per atom
Excess energy over the best structure of this formula in the dataset ... 71 meV per atom
Energy ... -2.5173 eV per atom

***

(7)
VASP calculation (PBE) on a geometry-optimized MoPbBr6 structure.

CIF file:
```
data_MoPbBr6
_cell_length_a 8.731
_cell_length_b 11.023
_cell_length_c 7.463
_cell_angle_alpha 90.00
_cell_angle_beta 111.67
_cell_angle_gamma 90.00
_space_group_name_H-M_alt 'C 1 2/m 1'
_space_group_IT_number 12
loop_
_space_group_symop_operation_xyz
'x,y,z'
'-x,-y,-z'
'-x,y,-z'
'x,-y,z'
'x+1/2,y+1/2,z'
'-x+1/2,-y+1/2,-z'
'-x+1/2,y+1/2,-z'
'x+1/2,-y+1/2,z'
loop_
_atom_site_label
_atom_site_type_symbol
_atom_site_fract_x
_atom_site_fract_y
_atom_site_fract_z
Mo1 Mo 0.000 0.000 0.000
Pb1 Pb 0.000 0.000 0.500
Br1 Br 0.127 0.163 0.258
Br2 Br 0.245 0.500 0.092
```

Computed properties:
Size of the total moment ... 2.000 μB per formula unit
Uncorrected formation energy ... -0.6245 eV per atom
Energy ... -3.6966 eV per atom

***

(8)
VASP calculation (PBE) on a geometry-optimized VSn4Sb2 structure.

CIF file:
```
data_VSn4Sb2
_cell_length_a 5.115
_cell_length_b 5.115
_cell_length_c 16.300
_cell_angle_alpha 90.00
_cell_angle_beta 90.00
_cell_angle_gamma 90.00
_space_group_name_H-M_alt 'I 4/m m m'
_space_group_IT_number 139
_space_group_name_Hall '-I 4 2'
loop_
_atom_site_label
_atom_site_type_symbol
_atom_site_fract_x
_atom_site_fract_y
_atom_site_fract_z
V1 V 0.000 0.000 0.000
Sn1 Sn 0.000 0.000 0.162
Sn2 Sn 0.000 0.500 0.000
Sb1 Sb 0.000 0.000 0.335
```

Computed properties:
Size of the total moment ... 1.822 μB per formula unit
Uncorrected formation energy ... 0.3623 eV per atom
Energy ... -4.4055 eV per atom

***

(9)
VASP calculation (PBE) on a geometry-optimized TeRu3F structure.

CIF file:
```
data_TeRu3F
_cell_length_a 4.903
_cell_length_b 4.903
_cell_length_c 4.903
_cell_angle_alpha 90.00
_cell_angle_beta 90.00
_cell_angle_gamma 90.00
_space_group_name_H-M_alt 'P m -3 m'
_space_group_IT_number 221
_space_group_name_Hall '-P 4 2 3'
loop_
_atom_site_label
_atom_site_type_symbol
_atom_site_fract_x
_atom_site_fract_y
_atom_site_fract_z
Te1 Te 0.000 0.000 0.000
Ru1 Ru 0.000 0.000 0.500
F1 F 0.500 0.500 0.500
```

Computed properties:
Size of the total moment ... 4.504 μB per formula unit
Uncorrected formation energy ... 1.5108 eV per atom
Excess energy over the best structure of this formula in the dataset ... 581 meV per atom
Energy ... -5.0573 eV per atom

***

(10)
VASP calculation (PBE) on a geometry-optimized CrTc structure.

CIF file:
```
data_CrTc
_cell_length_a 5.389
_cell_length_b 5.389
_cell_length_c 5.389
_cell_angle_alpha 90.00
_cell_angle_beta 90.00
_cell_angle_gamma 90.00
_space_group_name_H-M_alt 'F -4 3 m'
_space_group_IT_number 216
_space_group_name_Hall 'F -4 2 3'
loop_
_atom_site_label
_atom_site_type_symbol
_atom_site_fract_x
_atom_site_fract_y
_atom_site_fract_z
Cr1 Cr 0.000 0.000 0.000
Tc1 Tc 0.250 0.250 0.250
```

Computed properties:
Size of the total moment ... 0.983 μB per formula unit
Energy relative to the elements ... 1.627 eV/atom
Energy ... -8.3679 eV per atom

***

(11)
VASP calculation (PBE) on a geometry-optimized Ho3AlSb structure.

CIF file:
```
data_Ho3AlSb
_cell_length_a 8.360
_cell_length_b 4.280
_cell_length_c 9.354
_cell_angle_alpha 90.00
_cell_angle_beta 114.93
_cell_angle_gamma 90.00
_space_group_name_H-M_alt 'P 1 21/m 1'
_space_group_IT_number 11
loop_
_space_group_symop_operation_xyz
'x,y,z'
'-x,-y,-z'
'-x,y+1/2,-z'
'x,-y+1/2,z'
loop_
_atom_site_label
_atom_site_type_symbol
_atom_site_fract_x
_atom_site_fract_y
_atom_site_fract_z
Ho1 Ho 0.162 0.250 0.499
Ho2 Ho 0.181 0.250 0.122
Ho3 Ho 0.298 0.750 0.848
Al1 Al 0.009 0.250 0.756
Sb1 Sb 0.471 0.750 0.216
```

Computed properties:
Size of the total moment ... 0.899 μB per formula unit
Uncorrected formation energy ... -0.4365 eV per atom
Energy ... -4.7562 eV per atom

***

For the records above, the corresponding D(E_F) values read 6.033; 45.506; 10.505; 2.767; 6.395; 0.000; 15.918; 12.943; 4.834; 3.787; 8.866 states/eV/cell.